{
  "formula": "Al12Ru",
  "functional": "PBE",
  "state": "relaxed",
  "lattice_angstrom": [[-4.911, -1.379, -4.052], [4.284, 3.869, -3.018], [2.951, -5.523, 1.794]],
  "species": ["Ru", "Al", "Al", "Al", "Al", "Al", "Al", "Al", "Al", "Al", "Al", "Al", "Al"],
  "frac_coords": [[0.000, 0.000, 0.000], [0.810, 0.693, 0.503], [0.497, 0.190, 0.307], [0.883, 0.190, 0.693], [0.190, 0.693, 0.883], [0.117, 0.810, 0.307], [0.693, 0.883, 0.190], [0.503, 0.810, 0.693], [0.693, 0.503, 0.810], [0.810, 0.307, 0.117], [0.307, 0.497, 0.190], [0.307, 0.117, 0.810], [0.190, 0.307, 0.497]],
  "energy_ev_per_atom": -4.353
}

{
  "formula": "AlRu3S",
  "functional": "PBE",
  "state": "relaxed",
  "lattice_angstrom": [[4.450, 0.000, 0.000], [0.000, 4.450, 0.000], [0.000, 0.000, 4.450]],
  "species": ["Ru", "Ru", "Ru", "S", "Al"],
  "frac_coords": [[0.500, 0.000, 0.000], [0.000, 0.000, 0.500], [0.000, 0.500, 0.000], [0.500, 0.500, 0.500], [0.000, 0.000, 0.000]],
  "energy_ev_per_atom": -5.666,
  "e_form_raw_kcal_per_mol_atoms": 33.98
}

{
  "formula": "AlRu3S",
  "functional": "PBE",
  "state": "relaxed",
  "lattice_angstrom": [[4.303, 0.000, 0.000], [0.000, 4.303, 0.000], [0.000, 0.000, 4.303]],
  "species": ["Ru", "Ru", "Ru", "Al", "S"],
  "frac_coords": [[0.000, 0.500, 0.000], [0.000, 0.000, 0.500], [0.500, 0.000, 0.000], [0.500, 0.500, 0.500], [0.000, 0.000, 0.000]],
  "energy_ev_per_atom": -6.876,
  "e_form_raw_kcal_per_mol_atoms": 6.08
}

{
  "formula": "AlRuS2",
  "functional": "PBE",
  "state": "relaxed",
  "lattice_angstrom": [[2.010, 0.000, 7.174], [-1.005, 1.741, 7.174], [-1.005, -1.741, 7.174]],
  "species": ["Al", "Ru", "S", "S"],
  "frac_coords": [[0.000, 0.000, 0.000], [0.500, 0.500, 0.500], [0.891, 0.891, 0.891], [0.109, 0.109, 0.109]],
  "energy_ev_per_atom": -5.481,
  "e_form_raw_kcal_per_mol_atoms": -3.74
}

{
  "formula": "AlRuS2",
  "functional": "PBE",
  "state": "relaxed",
  "lattice_angstrom": [[1.885, 0.000, 7.347], [-0.943, 1.633, 7.347], [-0.943, -1.633, 7.347]],
  "species": ["Al", "Ru", "S", "S"],
  "frac_coords": [[0.500, 0.500, 0.500], [0.000, 0.000, 0.000], [0.103, 0.103, 0.103], [0.897, 0.897, 0.897]],
  "energy_ev_per_atom": -5.531,
  "e_form_raw_kcal_per_mol_atoms": -4.91
}

{
  "formula": "AlRuS2",
  "functional": "PBE",
  "state": "relaxed",
  "lattice_angstrom": [[5.262, 0.000, 0.000], [0.000, 5.262, 0.000], [2.631, 2.631, 5.355]],
  "species": ["S", "S", "S", "S", "Ru", "Ru", "Al", "Al"],
  "frac_coords": [[0.875, 0.873, 0.750], [0.623, 0.125, 0.250], [0.127, 0.625, 0.250], [0.375, 0.377, 0.750], [0.750, 0.250, 0.500], [0.000, 0.000, 0.000], [0.500, 0.500, 0.000], [0.250, 0.750, 0.500]],
  "energy_ev_per_atom": -5.681,
  "e_form_raw_kcal_per_mol_atoms": -8.37
}

{
  "formula": "Al2RuS",
  "functional": "PBE",
  "state": "relaxed",
  "lattice_angstrom": [[5.827, 0.000, 0.000], [0.000, 5.827, 0.000], [2.913, 2.913, 4.917]],
  "species": ["S", "S", "Al", "Al", "Al", "Al", "Ru", "Ru"],
  "frac_coords": [[0.250, 0.750, 0.500], [0.500, 0.500, 0.000], [0.375, 0.376, 0.750], [0.126, 0.625, 0.250], [0.624, 0.125, 0.250], [0.875, 0.874, 0.750], [0.750, 0.250, 0.500], [0.000, 0.000, 0.000]],
  "energy_ev_per_atom": -5.133,
  "e_form_raw_kcal_per_mol_atoms": 2.05
}

{
  "formula": "AlSi2RuS",
  "functional": "PBE",
  "state": "relaxed",
  "lattice_angstrom": [[4.508, 0.000, 0.000], [0.000, 4.435, 0.000], [0.000, 0.000, 4.508]],
  "species": ["S", "Ru", "Si", "Si", "Al"],
  "frac_coords": [[0.000, 0.000, 0.000], [0.000, 0.500, 0.000], [0.000, 0.000, 0.500], [0.500, 0.000, 0.000], [0.500, 0.500, 0.500]],
  "energy_ev_per_atom": -4.755,
  "e_form_raw_kcal_per_mol_atoms": 19.45
}

{
  "formula": "TiAlRu2S",
  "functional": "PBE",
  "state": "relaxed",
  "lattice_angstrom": [[4.590, 0.000, 0.000], [0.000, 4.473, 0.000], [0.000, 0.000, 4.590]],
  "species": ["Al", "Ti", "Ru", "Ru", "S"],
  "frac_coords": [[0.500, 0.500, 0.500], [0.000, 0.000, 0.000], [0.000, 0.000, 0.500], [0.500, 0.000, 0.000], [0.000, 0.500, 0.000]],
  "energy_ev_per_atom": -6.097,
  "e_form_raw_kcal_per_mol_atoms": 17.67
}

{
  "formula": "Zr2AlRuS",
  "functional": "PBE",
  "state": "relaxed",
  "lattice_angstrom": [[-1.877, -3.045, 3.619], [-2.044, -2.227, -2.934], [4.034, -3.063, -0.486]],
  "species": ["Ru", "S", "Al", "Zr", "Zr"],
  "frac_coords": [[0.500, 0.500, 0.500], [0.000, 0.500, 0.000], [0.000, 0.000, 0.000], [0.500, 0.000, 0.000], [0.000, 0.000, 0.500]],
  "energy_ev_per_atom": -5.924,
  "e_form_raw_kcal_per_mol_atoms": 21.32
}

{
  "formula": "AlSb2Ru",
  "functional": "PBE",
  "state": "relaxed",
  "lattice_angstrom": [[-3.739, 0.797, -1.714], [-2.967, -2.540, -1.517], [-4.336, -0.699, 5.160]],
  "species": ["Al", "Sb", "Sb", "Ru"],
  "frac_coords": [[0.250, 0.250, 0.250], [0.497, 0.497, 0.531], [0.003, 0.003, 0.969], [0.750, 0.750, 0.750]],
  "energy_ev_per_atom": -5.177,
  "e_form_raw_kcal_per_mol_atoms": 3.20
}

{
  "formula": "AlSbRu",
  "functional": "PBE",
  "state": "relaxed",
  "lattice_angstrom": [[3.216, 0.000, 0.000], [-1.608, 2.785, 0.000], [0.000, 0.000, 6.144]],
  "species": ["Sb", "Al", "Ru"],
  "frac_coords": [[0.333, 0.667, 0.639], [0.000, 0.000, 0.038], [0.667, 0.333, 0.323]],
  "energy_ev_per_atom": -5.807,
  "e_form_raw_kcal_per_mol_atoms": -2.16
}